Computed, not measured: a relaxed structure of Sm2MgAl3Pt4 at the GGA-PBE level of DFT.

a = 4.300 Å, b = 4.300 Å, c = 10.505 Å
α = 90.00°, β = 90.00°, γ = 90.00°
Atoms (fractional coordinates):
Pt: 0.000 0.500 0.358
Pt: 0.500 0.000 0.642
Pt: 0.500 0.500 0.000
Al: 0.000 0.500 0.123
Pt: 0.000 0.000 0.000
Al: 0.500 0.000 0.877
Sm: 0.000 0.500 0.758
Sm: 0.500 0.000 0.242
Mg: 0.500 0.500 0.500
Al: 0.000 0.000 0.500

E_form = -1.05 eV per atom
Crystal system = tetragonal
Total moment = 0.00 μB/cell
Space group = P-4m2, No. 115